The following is a DFT calculation (GGA-PBEsol) of a relaxed AgOsO3 crystal.

Values from the calculation:
- Size of the total moment: 0.000 μB/cell
- E: -0.497 Ry per atom
- Energy relative to the elements, uncorrected: -0.505 eV per atom
- Space group: Pm-3m (221)

Cell: 3.854 3.854 3.854 Å, 90.00 90.00 90.00°
Fractional coordinates of all 5 atoms:
Ag 0.000 0.000 0.000
Os 0.500 0.500 0.500
O 0.000 0.500 0.500
O 0.500 0.000 0.500
O 0.500 0.500 0.000

=====

The following is a DFT calculation (GGA-PBEsol) of a relaxed ScHgRh crystal.

Values from the calculation:
- Size of the total moment: 0.000 μB/cell
- E: -0.420 Ry per atom
- Space group: I4mm (107)

Cell: 5.182 5.182 5.182 Å, 141.99 141.99 54.84°
Fractional coordinates of all 3 atoms:
Sc 0.000 0.000 0.000
Hg 0.684 0.684 0.000
Rh 0.363 0.363 0.000

=====

The following is a DFT calculation (GGA-PBEsol) of a relaxed Na2PdS crystal.

Values from the calculation:
- Size of the total moment: 0.000 μB/cell
- E: -0.250 Ry per atom
- Energy relative to the elements, uncorrected: -0.115 eV per atom
- Space group: I-42d (122)

Cell: 9.835 9.835 9.835 Å, 156.75 156.75 33.11°
Fractional coordinates of all 8 atoms:
Na 0.111 0.625 0.986
Na 0.375 0.361 0.486
Na 0.639 0.125 0.014
Na 0.875 0.889 0.514
Pd 0.250 0.750 0.500
Pd 0.500 0.500 0.000
S 0.000 0.000 0.000
S 0.750 0.250 0.500

=====

The following is a DFT calculation (GGA-PBEsol) of a relaxed Ba2MgHg crystal.

Values from the calculation:
- Size of the total moment: 0.000 μB/cell
- Energy above the lowest structure with this stoichiometry: 0.0 meV per atom
- E: -0.144 Ry per atom
- Space group: P4/mmm (123)

Cell: 4.176 4.176 8.480 Å, 90.00 90.00 90.00°
Fractional coordinates of all 4 atoms:
Ba 0.000 0.000 0.232
Ba 0.000 0.000 0.768
Mg 0.500 0.500 0.500
Hg 0.500 0.500 0.000

=====

The following is a DFT calculation (GGA-PBEsol) of a relaxed V4SnO12 crystal.

Values from the calculation:
- Size of the total moment: 0.017 μB/cell
- E: -0.614 Ry per atom
- Energy relative to the elements, uncorrected: -2.131 eV per atom
- Space group: C2 (5)

Cell: 6.793 6.793 5.881 Å, 104.92 104.92 81.91°
Fractional coordinates of all 17 atoms:
V 0.031 0.388 0.996
V 0.197 0.197 0.479
V 0.612 0.969 0.004
V 0.803 0.803 0.521
Sn 0.337 0.663 0.500
O 0.040 0.232 0.204
O 0.044 0.690 0.556
O 0.056 0.245 0.698
O 0.215 0.553 0.144
O 0.310 0.956 0.444
O 0.370 0.370 0.553
O 0.447 0.785 0.856
O 0.480 0.184 0.032
O 0.630 0.630 0.447
O 0.755 0.944 0.302
O 0.768 0.960 0.796
O 0.816 0.520 0.968

=====

The following is a DFT calculation (GGA-PBEsol) of a relaxed Zr2RhSe crystal.

Values from the calculation:
- Size of the total moment: 0.000 μB/cell
- E: -0.611 Ry per atom
- Energy relative to the elements, uncorrected: -0.777 eV per atom
- Space group: P4mm (99)

Cell: 3.563 3.563 5.878 Å, 90.00 90.00 90.00°
Fractional coordinates of all 4 atoms:
Zr 0.000 0.000 0.000
Zr 0.500 0.500 0.335
Rh 0.000 0.000 0.504
Se 0.500 0.500 0.835

=====

The following is a DFT calculation (GGA-PBEsol) of a relaxed ZnIr2Os crystal.

Values from the calculation:
- Size of the total moment: 0.000 μB/cell
- E: -0.621 Ry per atom
- Space group: P4/mmm (123)

Cell: 2.732 2.732 7.421 Å, 90.00 90.00 90.00°
Fractional coordinates of all 4 atoms:
Zn 0.000 0.000 0.000
Ir 0.500 0.500 0.253
Ir 0.500 0.500 0.747
Os 0.000 0.000 0.500

=====

The following is a DFT calculation (GGA-PBEsol) of a relaxed KNbNF2 crystal.

Values from the calculation:
- Size of the total moment: 1.000 μB/cell
- Energy above the lowest structure with this stoichiometry: 2270.2 meV per atom
- E: -0.323 Ry per atom
- Energy relative to the elements, uncorrected: 0.467 eV per atom
- Space group: P4/mmm (123)

Cell: 4.303 4.303 4.722 Å, 90.00 90.00 90.00°
Fractional coordinates of all 5 atoms:
K 0.000 0.000 0.000
Nb 0.500 0.500 0.500
N 0.000 0.000 0.500
F 0.000 0.500 0.000
F 0.500 0.000 0.000

=====

The following is a DFT calculation (GGA-PBEsol) of a relaxed CuAgPd2Br crystal.

Values from the calculation:
- Size of the total moment: 0.000 μB/cell
- E: -0.264 Ry per atom
- Energy relative to the elements, uncorrected: 0.691 eV per atom
- Space group: P4/mmm (123)

Cell: 4.586 4.586 4.697 Å, 90.00 90.00 90.00°
Fractional coordinates of all 5 atoms:
Cu 0.000 0.000 0.000
Ag 0.000 0.000 0.500
Pd 0.000 0.500 0.000
Pd 0.500 0.000 0.000
Br 0.500 0.500 0.500

=====

The following is a DFT calculation (GGA-PBEsol) of a relaxed HgBrCl2 crystal.

Values from the calculation:
- Size of the total moment: 2.044 μB/cell
- Energy above the lowest structure with this stoichiometry: 24.0 meV per atom
- E: -0.126 Ry per atom
- Energy relative to the elements, uncorrected: -0.103 eV per atom
- Space group: I-42d (122)

Cell: 6.472 6.472 6.472 Å, 103.95 103.95 121.19°
Fractional coordinates of all 8 atoms:
Hg 0.000 0.000 0.000
Hg 0.750 0.250 0.500
Br 0.250 0.750 0.500
Br 0.500 0.500 0.000
Cl 0.050 0.625 0.925
Cl 0.375 0.300 0.425
Cl 0.700 0.125 0.075
Cl 0.875 0.950 0.575

=====

The following is a DFT calculation (GGA-PBEsol) of a relaxed YMg2Cu4 crystal.

Values from the calculation:
- Size of the total moment: 0.000 μB/cell
- Energy above the lowest structure with this stoichiometry: 26.1 meV per atom
- E: -0.298 Ry per atom
- Space group: I4/mcm (140)

Cell: 6.682 6.682 6.682 Å, 111.61 111.61 105.26°
Fractional coordinates of all 14 atoms:
Y 0.250 0.250 0.000
Y 0.750 0.750 0.000
Mg 0.157 0.657 0.815
Mg 0.343 0.157 0.500
Mg 0.657 0.843 0.500
Mg 0.843 0.343 0.185
Cu 0.029 0.811 0.500
Cu 0.189 0.689 0.218
Cu 0.311 0.529 0.500
Cu 0.471 0.971 0.782
Cu 0.529 0.029 0.218
Cu 0.689 0.471 0.500
Cu 0.811 0.311 0.782
Cu 0.971 0.189 0.500

=====

The following is a DFT calculation (GGA-PBEsol) of a relaxed BaNbZn2 crystal.

Values from the calculation:
- Size of the total moment: 2.132 μB/cell
- E: -0.253 Ry per atom
- Space group: Fm-3m (225)

Cell: 5.053 5.053 5.053 Å, 60.00 60.00 60.00°
Fractional coordinates of all 4 atoms:
Ba 0.000 0.000 0.000
Nb 0.500 0.500 0.500
Zn 0.250 0.250 0.250
Zn 0.750 0.750 0.750

=====

- Among the records above, which one has the highest E?
  HgBrCl2